The following is a GGA-PBE calculation of a geometry-optimized Sr2AlCl structure, from Alexandria via LeMat-Bulk.

a = 3.7433 Å, b = 3.7433 Å, c = 8.6390 Å
α = 90.00°, β = 90.00°, γ = 90.00°
Closest atoms and distances in Å follow each position.
Element x y z (fractional)
1 Sr 0.0000 0.0000 0.2406  4 Al 3.37, 4 Cl 3.47, 4 Sr 3.74
2 Sr 0.0000 0.0000 0.7594  4 Al 3.37, 4 Cl 3.47, 4 Sr 3.74
3 Al 0.5000 0.5000 0.0000  8 Sr 3.37, 4 Al 3.74
4 Cl 0.5000 0.5000 0.5000  8 Sr 3.47, 4 Cl 3.74

Properties
Energy relative to the elements, uncorrected in eV per atom: -0.855
Total magnetic moment in μB/atom: 0.000
Energy relative to the lowest polymorph listed for this composition in meV per atom: 74